(1)
19
Lattice="-1.4868 7.5768 -3.0776 -4.9967 -0.6650 6.6092 7.6863 0.4135 3.1369" Properties=species:S:1:pos:R:3 comment="PBE-GGA CsBi6S12, relaxed" spacegroup=R-3m dos_ef_per_ev_fu=19.8 vol_a3_per_fu=501.5 raw_formation_energy_ev_per_atom=-0.048 pbc="T T T"
Cs 0.0000 0.0000 0.0000
Bi -0.2902 4.9531 0.4784
Bi 3.4164 2.0586 2.9895
Bi -1.7085 1.6229 4.3925
Bi -2.2136 5.2667 3.6790
Bi 1.4930 2.3722 6.1901
Bi 2.9112 5.7025 2.2760
S 1.9162 6.7500 -0.2943
S 0.2851 6.2891 2.9948
S 2.7960 4.3284 4.6958
S 1.8784 3.2922 1.0222
S -1.5932 2.9970 1.9727
S 0.9176 1.0362 3.6737
S 4.0376 0.9793 5.6621
S -4.1496 3.2587 4.6349
S -0.7134 0.5754 6.9628
S -2.8348 6.3460 1.0064
S 5.3524 4.0667 2.0336
S -0.6756 4.0332 5.6463

(2)
15
Lattice="-6.0465 -4.2374 -0.0484 4.8461 -0.5489 5.5409 -5.0496 7.2027 0.2119" Properties=species:S:1:pos:R:3 comment="PBE-GGA Sc3TaTl3S8, relaxed" spacegroup=R-3m dos_ef_per_ev_fu=4.8 vol_a3_per_fu=363.4 raw_formation_energy_ev_per_atom=-1.280 pbc="T T T"
Sc -5.5480 1.4826 0.0818
Sc -3.1250 1.2082 2.8522
Sc -0.1017 3.3269 2.8764
Ta -2.5248 3.6013 0.1060
Tl 0.0000 0.0000 0.0000
Tl 2.4230 -0.2744 2.7704
Tl -0.6002 -2.3932 2.7462
S -0.5930 0.8088 3.0564
S -5.6569 1.6075 2.6479
S -3.5933 -1.3434 3.1105
S -2.6566 3.7597 2.5939
S -6.1147 -1.0573 0.2268
S -0.1353 3.4736 5.4776
S -2.9688 1.1476 0.2518
S -3.2811 1.2687 5.4526

(3)
20
Lattice="-4.8344 0.3151 -2.1288 1.1388 -8.3973 -3.8290 -4.5780 -1.7942 10.1307" Properties=species:S:1:pos:R:3 comment="PBE-GGA Ca3NdHg6, relaxed" spacegroup=P2_1/m formation_enthalpy_0k_kj_per_mol_atoms=-45.8 dos_ef_per_ev_fu=5.5 vol_a3_per_fu=266.3 pbc="T T T"
Ca -2.4063 -5.0608 1.4271
Ca -5.8672 -4.8157 2.7458
Ca -4.4772 -4.3002 6.2424
Ca -3.7964 -5.5763 -2.0695
Ca -4.9136 -8.1238 6.6674
Ca -3.3600 -1.7527 -2.4946
Nd -2.9755 -8.9103 2.1500
Nd -5.2980 -0.9661 2.0229
Hg -1.1249 -3.9376 -1.3166
Hg -7.1486 -5.9389 5.4895
Hg -1.9864 -1.4980 1.0007
Hg -6.2872 -8.3785 3.1722
Hg -3.6995 -6.5648 4.1411
Hg -4.5741 -3.3117 0.0318
Hg -3.2716 -2.8534 3.7186
Hg -5.0020 -7.0231 0.4542
Hg -1.7058 -7.5572 -0.5332
Hg -6.5677 -2.3192 4.7061
Hg -5.3064 -2.0984 8.4513
Hg -2.9672 -7.7780 -4.2784